Record 1
The following is a PBE-GGA calculation of BiRhN after structural relaxation, from Alexandria.

Results
DFT total energy = -6.53 eV per atom
space-group type = C2/m
total magnetic moment = 0.00 μB/cell

Cell: 3.549 3.549 12.396 Å, 98.54 98.54 90.01°
Positions (direct):
Bi: 0.663 0.663 0.834
Bi: 0.337 0.337 0.166
N: 0.020 0.020 0.546
N: 0.980 0.980 0.454
Rh: 0.784 0.784 0.065
Rh: 0.216 0.216 0.935



Record 2
The following is a PBE-GGA calculation of BiRhSN2 after structural relaxation, from Alexandria.

Results
DFT total energy = -5.47 eV per atom
space-group type = P4/mmm
total magnetic moment = 0.95 μB/cell

Cell: 3.983 3.983 4.883 Å, 90.00 90.00 90.00°
Site moments in Bohr magnetons follow the coordinates.
Positions (direct):
N: 0.500 0.000 0.000  0.29
N: 0.000 0.500 0.000  0.29
Bi: 0.500 0.500 0.500  -0.03
S: 0.000 0.000 0.500  0.01
Rh: 0.000 0.000 0.000  0.17



Record 3
The following is a PBE-GGA calculation of BiRhSN2 after structural relaxation, from Alexandria.

Results
DFT total energy = -4.43 eV per atom
space-group type = P4/mmm
total magnetic moment = 3.95 μB/cell

Cell: 4.238 4.238 5.412 Å, 90.00 90.00 90.00°
Site moments in Bohr magnetons follow the coordinates.
Positions (direct):
Rh: 0.500 0.500 0.500  1.65
N: 0.000 0.500 0.000  0.72
N: 0.500 0.000 0.000  0.72
Bi: 0.000 0.000 0.000  -0.05
S: 0.000 0.000 0.500  0.12



Record 4
The following is a PBE-GGA calculation of SiBi2RhN after structural relaxation, from Alexandria.

Results
DFT total energy = -5.33 eV per atom
space-group type = P4/mmm
total magnetic moment = 0.00 μB/cell

Cell: 5.105 3.609 5.105 Å, 90.00 90.00 90.00°
Positions (direct):
Rh: 0.500 0.500 0.500
Si: 0.000 0.500 0.000
Bi: 0.500 0.000 0.000
Bi: 0.000 0.000 0.500
N: 0.000 0.000 0.000



Record 5
The following is a PBE-GGA calculation of TaBiRhN2 after structural relaxation, from Alexandria.

Results
DFT total energy = -7.30 eV per atom
space-group type = P4/mmm
total magnetic moment = 0.40 μB/cell

Cell: 3.981 6.078 3.981 Å, 90.00 90.00 90.00°
Site moments in Bohr magnetons follow the coordinates.
Positions (direct):
Ta: 0.000 0.000 0.000  0.04
N: 0.500 0.000 0.000  -0.18
N: 0.000 0.000 0.500  -0.29
Rh: 0.500 0.500 0.500  0.19
Bi: 0.000 0.500 0.000  -0.01



Record 6
The following is a PBE-GGA calculation of Tc2BiRhN after structural relaxation, from Alexandria.

Results
DFT total energy = -6.77 eV per atom
space-group type = P4/mmm
total magnetic moment = 5.74 μB/cell

Cell: 5.161 3.639 5.161 Å, 90.00 90.00 90.00°
Site moments in Bohr magnetons follow the coordinates.
Positions (direct):
Bi: 0.500 0.500 0.500  -0.18
Tc: 0.000 0.000 0.500  2.54
Tc: 0.500 0.000 0.000  2.47
N: 0.000 0.500 0.000  0.04
Rh: 0.000 0.000 0.000  0.26



Record 7
The following is a PBE-GGA calculation of Zr7Bi2RhN2 after structural relaxation, from Alexandria.

Results
DFT total energy = -8.38 eV per atom
space-group type = C2/m
total magnetic moment = 0.00 μB/cell

Cell: 4.479 4.479 12.436 Å, 79.03 79.03 90.03°
Positions (direct):
Zr: 0.902 0.400 0.176
Zr: 0.716 0.716 0.626
Zr: 0.098 0.600 0.824
Zr: 0.284 0.284 0.374
Zr: 0.400 0.902 0.176
Zr: 0.500 0.500 0.000
Zr: 0.600 0.098 0.824
Bi: 0.209 0.209 0.629
Bi: 0.791 0.791 0.371
N: 0.602 0.602 0.813
N: 0.398 0.398 0.187
Rh: 0.000 0.000 0.000



Record 8
The following is a PBE-GGA calculation of BiRu2N after structural relaxation, from Alexandria.

Results
DFT total energy = -6.34 eV per atom
space-group type = Fm-3m
total magnetic moment = 0.00 μB/cell

Cell: 4.408 4.408 4.408 Å, 60.00 60.00 60.00°
Positions (direct):
N: 0.000 0.000 0.000
Ru: 0.250 0.250 0.250
Ru: 0.750 0.750 0.750
Bi: 0.500 0.500 0.500



Record 9
The following is a PBE-GGA calculation of BiRu3N after structural relaxation, from Alexandria.

Results
DFT total energy = -7.58 eV per atom
space-group type = Pm-3m
total magnetic moment = 0.00 μB/cell

Cell: 4.179 4.179 4.179 Å, 90.00 90.00 90.00°
Positions (direct):
Ru: 0.000 0.500 0.000
Ru: 0.500 0.000 0.000
Ru: 0.000 0.000 0.500
Bi: 0.500 0.500 0.500
N: 0.000 0.000 0.000



Record 10
The following is a PBE-GGA calculation of BiRu3N after structural relaxation, from Alexandria.

Results
DFT total energy = -4.86 eV per atom
space-group type = Pm-3m
total magnetic moment = 7.23 μB/cell

Cell: 5.076 5.076 5.076 Å, 90.00 90.00 90.00°
Site moments in Bohr magnetons follow the coordinates.
Positions (direct):
Bi: 0.000 0.000 0.000  -0.12
Ru: 0.500 0.000 0.000  1.41
Ru: 0.000 0.000 0.500  1.89
Ru: 0.000 0.500 0.000  1.60
N: 0.500 0.500 0.500  1.53



Record 11
The following is a PBE-GGA calculation of BiRu2N after structural relaxation, from Alexandria.

Results
DFT total energy = -7.31 eV per atom
space-group type = I-42d
total magnetic moment = 0.00 μB/cell

Cell: 5.425 5.425 6.185 Å, 63.98 63.98 90.00°
Positions (direct):
Ru: 0.875 0.748 0.750
Ru: 0.252 0.625 0.250
Ru: 0.375 0.502 0.750
Ru: 0.498 0.125 0.250
Bi: 0.750 0.250 0.500
Bi: 0.000 0.000 0.000
N: 0.500 0.500 0.000
N: 0.250 0.750 0.500



Record 12
The following is a PBE-GGA calculation of BiRuN3 after structural relaxation, from Alexandria.

Results
DFT total energy = -6.57 eV per atom
space-group type = Pm-3m
total magnetic moment = 0.00 μB/cell

Cell: 3.937 3.937 3.937 Å, 90.00 90.00 90.00°
Positions (direct):
N: 0.000 0.000 0.500
N: 0.000 0.500 0.000
N: 0.500 0.000 0.000
Bi: 0.500 0.500 0.500
Ru: 0.000 0.000 0.000



Record 13
The following is a PBE-GGA calculation of BiRuN3 after structural relaxation, from Alexandria.

Results
DFT total energy = -5.02 eV per atom
space-group type = Pm-3m
total magnetic moment = 3.26 μB/cell

Cell: 4.219 4.219 4.219 Å, 90.00 90.00 90.00°
Site moments in Bohr magnetons follow the coordinates.
Positions (direct):
N: 0.500 0.000 0.000  0.04
N: 0.000 0.500 0.000  0.01
N: 0.000 0.000 0.500  0.10
Bi: 0.000 0.000 0.000  -0.01
Ru: 0.500 0.500 0.500  2.87



Record 14
The following is a PBE-GGA calculation of Bi3RuN after structural relaxation, from Alexandria.

Results
DFT total energy = -4.40 eV per atom
space-group type = Pm-3m
total magnetic moment = 0.00 μB/cell

Cell: 5.204 5.204 5.204 Å, 90.00 90.00 90.00°
Positions (direct):
Bi: 0.500 0.000 0.000
Bi: 0.000 0.000 0.500
Bi: 0.000 0.500 0.000
Ru: 0.000 0.000 0.000
N: 0.500 0.500 0.500



Record 15
The following is a PBE-GGA calculation of Bi2RuN after structural relaxation, from Alexandria.

Results
DFT total energy = -5.51 eV per atom
space-group type = I-42d
total magnetic moment = 0.00 μB/cell

Cell: 5.940 5.940 6.753 Å, 63.91 63.91 90.00°
Positions (direct):
Ru: 0.750 0.250 0.500
Ru: 0.000 0.000 0.000
Bi: 0.375 0.413 0.750
Bi: 0.163 0.625 0.250
Bi: 0.875 0.837 0.750
Bi: 0.587 0.125 0.250
N: 0.250 0.750 0.500
N: 0.500 0.500 0.000



Record 16
The following is a PBE-GGA calculation of BiRuSN2 after structural relaxation, from Alexandria.

Results
DFT total energy = -4.69 eV per atom
space-group type = P4/mmm
total magnetic moment = 5.30 μB/cell

Cell: 4.234 4.234 5.413 Å, 90.00 90.00 90.00°
Site moments in Bohr magnetons follow the coordinates.
Positions (direct):
Ru: 0.500 0.500 0.500  3.02
Bi: 0.000 0.000 0.000  -0.03
S: 0.000 0.000 0.500  0.15
N: 0.500 0.000 0.000  0.66
N: 0.000 0.500 0.000  0.66



Record 17
The following is a PBE-GGA calculation of BiRuSN2 after structural relaxation, from Alexandria.

Results
DFT total energy = -6.06 eV per atom
space-group type = P4/mmm
total magnetic moment = 0.22 μB/cell

Cell: 3.932 3.932 4.982 Å, 90.00 90.00 90.00°
Site moments in Bohr magnetons follow the coordinates.
Positions (direct):
S: 0.000 0.000 0.500  0.00
Ru: 0.000 0.000 0.000  -0.05
N: 0.000 0.500 0.000  0.14
N: 0.500 0.000 0.000  0.14
Bi: 0.500 0.500 0.500  -0.09



Record 18
The following is a PBE-GGA calculation of BiRuSe2N after structural relaxation, from Alexandria.

Results
DFT total energy = -3.54 eV per atom
space-group type = P4/mmm
total magnetic moment = 2.82 μB/cell

Cell: 5.570 5.209 5.570 Å, 90.00 90.00 90.00°
Site moments in Bohr magnetons follow the coordinates.
Positions (direct):
Se: 0.500 0.000 0.000  -0.10
Se: 0.000 0.000 0.500  -0.05
Ru: 0.000 0.500 0.000  0.25
Bi: 0.000 0.000 0.000  -0.03
N: 0.500 0.500 0.500  1.87



Record 19
The following is a PBE-GGA calculation of BiRuSe2N after structural relaxation, from Alexandria.

Results
DFT total energy = -5.49 eV per atom
space-group type = P4/mmm
total magnetic moment = 0.00 μB/cell

Cell: 5.184 5.184 3.709 Å, 90.00 90.00 90.00°
Positions (direct):
Bi: 0.500 0.500 0.500
Ru: 0.000 0.000 0.000
N: 0.000 0.000 0.500
Se: 0.500 0.000 0.000
Se: 0.000 0.500 0.000



Record 20
The following is a PBE-GGA calculation of BiRuSeN2 after structural relaxation, from Alexandria.

Results
DFT total energy = -4.59 eV per atom
space-group type = P4/mmm
total magnetic moment = 4.79 μB/cell

Cell: 4.218 4.218 5.831 Å, 90.00 90.00 90.00°
Site moments in Bohr magnetons follow the coordinates.
Positions (direct):
N: 0.000 0.500 0.000  0.64
N: 0.500 0.000 0.000  0.64
Se: 0.000 0.000 0.500  0.07
Ru: 0.500 0.500 0.500  2.67
Bi: 0.000 0.000 0.000  -0.03



Record 21
The following is a PBE-GGA calculation of BiRuSeN2 after structural relaxation, from Alexandria.

Results
DFT total energy = -5.84 eV per atom
space-group type = P4/mmm
total magnetic moment = 0.00 μB/cell

Cell: 3.981 3.981 5.210 Å, 90.00 90.00 90.00°
Positions (direct):
N: 0.000 0.500 0.000
N: 0.500 0.000 0.000
Ru: 0.000 0.000 0.000
Se: 0.000 0.000 0.500
Bi: 0.500 0.500 0.500



Record 22
The following is a PBE-GGA calculation of BiRuSe2N after structural relaxation, from Alexandria.

Results
DFT total energy = -4.03 eV per atom
space-group type = P4/mmm
total magnetic moment = 4.84 μB/cell

Cell: 5.483 5.483 4.290 Å, 90.00 90.00 90.00°
Site moments in Bohr magnetons follow the coordinates.
Positions (direct):
Se: 0.500 0.000 0.000  0.21
Se: 0.000 0.500 0.000  0.21
N: 0.000 0.000 0.500  0.71
Ru: 0.500 0.500 0.500  2.96
Bi: 0.000 0.000 0.000  -0.05



Record 23
The following is a PBE-GGA calculation of SrBi2RuN after structural relaxation, from Alexandria.

Results
DFT total energy = -4.89 eV per atom
space-group type = P4/mmm
total magnetic moment = 0.00 μB/cell

Cell: 4.858 4.839 4.858 Å, 90.00 90.00 90.00°
Positions (direct):
Sr: 0.000 0.500 0.000
Ru: 0.500 0.500 0.500
Bi: 0.500 0.000 0.000
Bi: 0.000 0.000 0.500
N: 0.000 0.000 0.000



Record 24
The following is a PBE-GGA calculation of TaBiRu2N after structural relaxation, from Alexandria.

Results
DFT total energy = -8.35 eV per atom
space-group type = P4/mmm
total magnetic moment = 0.00 μB/cell

Cell: 4.212 4.289 4.212 Å, 90.00 90.00 90.00°
Positions (direct):
Ta: 0.000 0.500 0.000
Ru: 0.500 0.000 0.000
Ru: 0.000 0.000 0.500
Bi: 0.500 0.500 0.500
N: 0.000 0.000 0.000



Record 25
The following is a PBE-GGA calculation of Tc2BiRuN after structural relaxation, from Alexandria.

Results
DFT total energy = -7.83 eV per atom
space-group type = P4/mmm
total magnetic moment = 1.22 μB/cell

Cell: 3.973 4.995 3.973 Å, 90.00 90.00 90.00°
Site moments in Bohr magnetons follow the coordinates.
Positions (direct):
Tc: 0.500 0.000 0.000  0.40
Tc: 0.000 0.000 0.500  0.39
Bi: 0.000 0.500 0.000  0.00
N: 0.000 0.000 0.000  -0.02
Ru: 0.500 0.500 0.500  0.34



Record 26
The following is a PBE-GGA calculation of BiRuW2N after structural relaxation, from Alexandria.

Results
DFT total energy = -5.44 eV per atom
space-group type = P4/mmm
total magnetic moment = 0.64 μB/cell

Cell: 5.076 4.904 5.076 Å, 90.00 90.00 90.00°
Site moments in Bohr magnetons follow the coordinates.
Positions (direct):
W: 0.500 0.000 0.000  -0.18
W: 0.000 0.000 0.500  -0.22
Bi: 0.000 0.000 0.000  0.00
N: 0.500 0.500 0.500  -0.15
Ru: 0.000 0.500 0.000  1.28



Record 27
The following is a PBE-GGA calculation of BiRuWN2 after structural relaxation, from Alexandria.

Results
DFT total energy = -6.89 eV per atom
space-group type = P4/mmm
total magnetic moment = 3.35 μB/cell

Cell: 3.889 6.014 3.889 Å, 90.00 90.00 90.00°
Site moments in Bohr magnetons follow the coordinates.
Positions (direct):
Bi: 0.000 0.500 0.000  -0.08
Ru: 0.000 0.000 0.000  0.21
N: 0.500 0.000 0.000  -0.02
N: 0.000 0.000 0.500  0.04
W: 0.500 0.500 0.500  2.45



Record 28
The following is a PBE-GGA calculation of ZnBi2RuN after structural relaxation, from Alexandria.

Results
DFT total energy = -4.95 eV per atom
space-group type = P4/mmm
total magnetic moment = 0.00 μB/cell

Cell: 5.559 5.559 3.651 Å, 90.00 90.00 90.00°
Positions (direct):
N: 0.000 0.000 0.500
Ru: 0.000 0.000 0.000
Bi: 0.500 0.000 0.000
Bi: 0.000 0.500 0.000
Zn: 0.500 0.500 0.500